1.
Below is a relaxed structure of CaAsPt3, with properties calculated at the PBE level.

Output
The value obtained for the calculated formation energy is -0.72 eV per atom. The space group is I4mm, No. 107. As for the volume: 18.88 Å³/atom.

POSCAR file:
```
CaAsPt3
1.0
-2.1877 -0.3617 -3.4349
-1.3118 -3.6743 1.2224
-2.6630 4.4434 3.6613
Pt As Ca
3 1 1
Direct
0.7609 0.2609 0.5218
0.4274 0.4274 0.8549
0.2609 0.7609 0.5218
0.6354 0.6354 0.2708
0.0056 0.0056 0.0112
```

***

2.
Below is a relaxed structure of Na4Tl7In, with properties calculated at the PBE level.

Output
The value obtained for the calculated formation energy is -0.02 eV per atom. The space group is C2/m, No. 12. As for the volume: 31.33 Å³/atom.

POSCAR file:
```
Na4Tl7In
1.0
5.8917 0.0000 0.0000
2.9458 10.7324 -0.1979
2.9458 0.1923 5.9429
Tl In Na
7 1 4
Direct
0.3814 0.4700 0.7672
0.6186 0.5300 0.2328
0.2029 0.0886 0.5056
0.0955 0.6972 0.1119
0.5000 0.0000 0.0000
0.9045 0.3028 0.8881
0.7971 0.9114 0.4944
0.0000 0.0000 0.0000
0.3467 0.7817 0.5250
0.6533 0.2183 0.4750
0.1725 0.3708 0.2842
0.8275 0.6292 0.7158
```

***

3.
Below is a relaxed structure of Eu3Sc, with properties calculated at the PBE level.

Output
The value obtained for the calculated formation energy is 0.15 eV per atom. The space group is I4/mmm, No. 139. As for the volume: 35.95 Å³/atom.

POSCAR file:
```
Eu3Sc
1.0
-0.9279 1.2357 4.9956
0.7343 -4.9924 1.3713
5.2200 2.8287 -2.4669
Eu Sc
3 1
Direct
0.7500 0.2500 0.5000
0.5000 0.5000 0.0000
0.2500 0.7500 0.5000
0.0000 0.0000 0.0000
```